Density functional theory data (PBE) for crystalline TcAg2 at its relaxed geometry.

a b c (Å): 2.7019 2.7019 13.5660
angles (deg): 90.00 90.00 90.00
With the nearest neighbours (Å) after each atom.
Space group I4/mmm (No. 139)
Inequivalent atoms, fractional coordinates:
1 Tc 0.0000 0.0000 0.0000  4 Tc 2.70, 8 Ag 2.94
2 Ag 0.0000 0.0000 0.3357  8 Ag 2.70-3.01, 4 Tc 2.94

Properties
total magnetic moment = 0.00 μB per formula unit
energy relative to the elements = 0.4541 eV/atom
energy = -4.902 eV per atom
crystal system = tetragonal


Density functional theory data (PBE) for crystalline Tc4Ag5 at its relaxed geometry.

a b c (Å): 8.8333 8.8333 3.8506
angles (deg): 90.00 90.00 90.00
With the nearest neighbours (Å) after each atom.
Space group I4/mmm (No. 139)
Inequivalent atoms, fractional coordinates:
1 Tc 0.0000 0.3582 0.0000  5 Tc 2.50-2.62
2 Ag 0.0000 0.0000 0.0000  8 Ag 2.85, 4 Tc 3.16
3 Ag 0.1684 0.1684 0.5000  6 Ag 2.80-2.97, 6 Tc 2.94-2.95

Properties
total magnetic moment = 0.00 μB per formula unit
energy relative to the elements = 0.4428 eV/atom
energy = -5.748 eV per atom
crystal system = tetragonal


Density functional theory data (PBE) for crystalline TcAg2 at its relaxed geometry.

a b c (Å): 4.8973 4.8973 2.6587
angles (deg): 90.00 90.00 90.00
With the nearest neighbours (Å) after each atom.
Space group P4/mmm (No. 123)
Inequivalent atoms, fractional coordinates:
1 Tc 0.0000 0.0000 0.0000  2 Tc 2.66, 8 Ag 2.79
2 Ag 0.0000 0.5000 0.5000  2 Ag 2.66, 4 Tc 2.79

Properties
total magnetic moment = 1.30 μB per formula unit
energy relative to the elements = 0.8488 eV/atom
energy = -4.507 eV per atom
crystal system = tetragonal


Density functional theory data (PBE) for crystalline Tc3Ag at its relaxed geometry.

a b c (Å): 3.9180 3.9180 3.9180
angles (deg): 90.00 90.00 90.00
With the nearest neighbours (Å) after each atom.
Space group Pm-3m (No. 221)
Inequivalent atoms, fractional coordinates:
1 Tc 0.0000 0.0000 0.5000  8 Tc 2.77, 4 Ag 2.77
2 Ag 0.5000 0.5000 0.5000  12 Tc 2.77

Properties
total magnetic moment = 0.00 μB per formula unit
energy relative to the elements = 0.4769 eV/atom
energy = -8.010 eV per atom
crystal system = cubic


Density functional theory data (PBE) for crystalline TcAg2 at its relaxed geometry.

a b c (Å): 6.7664 6.7664 4.7266
angles (deg): 90.00 90.00 90.00
With the nearest neighbours (Å) after each atom.
Space group I4/mcm (No. 140)
Inequivalent atoms, fractional coordinates:
1 Tc 0.0000 0.0000 0.2500  2 Tc 2.36
2 Ag 0.1510 0.3490 0.0000  4 Tc 2.83, 7 Ag 2.89-3.12

Properties
total magnetic moment = 0.00 μB per formula unit
energy relative to the elements = 0.6323 eV/atom
energy = -4.724 eV per atom
crystal system = tetragonal


Density functional theory data (PBE) for crystalline Tc3AgTe at its relaxed geometry.

a b c (Å): 4.8415 4.8415 4.8415
angles (deg): 90.00 90.00 90.00
With the nearest neighbours (Å) after each atom.
Space group Pm-3m (No. 221)
Inequivalent atoms, fractional coordinates:
1 Tc 0.0000 0.0000 0.5000  2 Te 2.42
2 Ag 0.5000 0.5000 0.5000  12 Tc 3.42
3 Te 0.0000 0.0000 0.0000  6 Tc 2.42

Properties
total magnetic moment = 2.39 μB per formula unit
energy = -5.610 eV per atom
raw formation energy = 174.50 kJ/mol of atoms
crystal system = cubic


Density functional theory data (PBE) for crystalline TcAgTe3 at its relaxed geometry.

a b c (Å): 5.2460 5.2460 5.2460
angles (deg): 90.00 90.00 90.00
With the nearest neighbours (Å) after each atom.
Space group Pm-3m (No. 221)
Inequivalent atoms, fractional coordinates:
1 Tc 0.0000 0.0000 0.0000  6 Te 2.62
2 Ag 0.5000 0.5000 0.5000  12 Te 3.71
3 Te 0.0000 0.0000 0.5000  2 Tc 2.62

Properties
total magnetic moment = 0.00 μB per formula unit
energy = -3.931 eV per atom
raw formation energy = 57.66 kJ/mol of atoms
crystal system = cubic


Density functional theory data (PBE) for crystalline TcAg2Te at its relaxed geometry.

a b c (Å): 6.6537 6.6537 6.6537
angles (deg): 90.00 90.00 90.00
With the nearest neighbours (Å) after each atom.
Space group F-43m (No. 216)
Inequivalent atoms, fractional coordinates:
1 Tc 0.0000 0.0000 0.0000  4 Ag 2.88, 4 Te 2.88
2 Ag 0.0000 0.0000 0.5000  4 Te 2.88, 4 Ag 2.88
3 Ag 0.2500 0.2500 0.7500  4 Tc 2.88, 4 Ag 2.88
4 Te 0.2500 0.2500 0.2500  4 Tc 2.88, 4 Ag 2.88

Properties
total magnetic moment = 0.38 μB per formula unit
energy = -4.269 eV per atom
raw formation energy = 51.52 kJ/mol of atoms
crystal system = cubic